Run 1
VASP calculation (PBE) on NdDy2Ir after structural relaxation.

CIF file:
```
data_NdDy2Ir
_chemical_formula_sum 'Nd3 Dy6 Ir3'
_space_group_name_H-M_alt 'R -3 m'
_space_group_IT_number 166
_space_group_name_Hall '-R 3 2"'
_cell_length_a 3.8082
_cell_length_b 3.8082
_cell_length_c 31.6424
_cell_angle_alpha 90.00
_cell_angle_beta 90.00
_cell_angle_gamma 120.00
loop_
_atom_site_label
_atom_site_fract_x
_atom_site_fract_y
_atom_site_fract_z
Nd1 0.0000 0.0000 0.0000
Dy1 0.0000 0.0000 0.1155
Ir1 0.0000 0.0000 0.5000
```

***

Run 2
VASP calculation (PBE) on NdDy2Ir after structural relaxation.

CIF file:
```
data_NdDy2Ir
_chemical_formula_sum 'Nd1 Dy2 Ir1'
_space_group_name_H-M_alt 'P 4/m m m'
_space_group_IT_number 123
_space_group_name_Hall '-P 4 2'
_cell_length_a 3.495
_cell_length_b 3.495
_cell_length_c 8.928
_cell_angle_alpha 90.00
_cell_angle_beta 90.00
_cell_angle_gamma 90.00
loop_
_atom_site_label
_atom_site_fract_x
_atom_site_fract_y
_atom_site_fract_z
Nd1 0.000 0.000 0.000
Dy1 0.500 0.500 0.318
Ir1 0.000 0.000 0.500
```

***

Run 3
VASP calculation (PBE) on NdDy2Ir after structural relaxation.

CIF file:
```
data_NdDy2Ir
_chemical_formula_sum 'Nd4 Dy8 Ir4'
_space_group_name_H-M_alt 'C m c m'
_space_group_IT_number 63
_space_group_name_Hall '-C 2c 2'
_cell_length_a 3.876
_cell_length_b 12.292
_cell_length_c 9.271
_cell_angle_alpha 90.00
_cell_angle_beta 90.00
_cell_angle_gamma 90.00
loop_
_atom_site_label
_atom_site_fract_x
_atom_site_fract_y
_atom_site_fract_z
Nd1 0.000 0.072 0.250
Dy1 0.000 0.357 0.067
Ir1 0.000 0.245 0.750
```

***

Which of them is most stable? Easy: run 3.

***

Run 1
VASP calculation (PBE) on NdDy3Ir after structural relaxation.

CIF file:
```
data_NdDy3Ir
_chemical_formula_sum 'Nd1 Dy3 Ir1'
_space_group_name_H-M_alt 'P m -3 m'
_space_group_IT_number 221
_space_group_name_Hall '-P 4 2 3'
_cell_length_a 5.451
_cell_length_b 5.451
_cell_length_c 5.451
_cell_angle_alpha 90.00
_cell_angle_beta 90.00
_cell_angle_gamma 90.00
loop_
_atom_site_label
_atom_site_fract_x
_atom_site_fract_y
_atom_site_fract_z
Nd1 0.000 0.000 0.000
Dy1 0.000 0.500 0.500
Ir1 0.500 0.500 0.500
```

***

Run 2
VASP calculation (PBE) on NdDy3Ir after structural relaxation.

CIF file:
```
data_NdDy3Ir
_chemical_formula_sum 'Nd4 Dy12 Ir4'
_space_group_name_H-M_alt 'P 1 21/c 1'
_space_group_IT_number 14
_space_group_name_Hall '-P 2ybc'
_cell_length_a 7.943
_cell_length_b 7.428
_cell_length_c 10.148
_cell_angle_alpha 90.00
_cell_angle_beta 106.77
_cell_angle_gamma 90.00
loop_
_atom_site_label
_atom_site_fract_x
_atom_site_fract_y
_atom_site_fract_z
Nd1 0.188 0.043 0.255
Dy1 0.073 0.706 0.029
Dy2 0.290 0.510 0.381
Dy3 0.410 0.127 0.605
Ir1 0.442 0.744 0.606
```

***

Which of them is most stable? Easy: run 2.

***

Run 1
VASP calculation (PBE) on NdDy3Ir8 after structural relaxation.

CIF file:
```
data_NdDy3Ir8
_chemical_formula_sum 'Nd1 Dy3 Ir8'
_space_group_name_H-M_alt 'P 3 m 1'
_space_group_IT_number 156
_space_group_name_Hall 'P 3 -2"'
_cell_length_a 5.3834
_cell_length_b 5.3834
_cell_length_c 8.7501
_cell_angle_alpha 90.00
_cell_angle_beta 90.00
_cell_angle_gamma 120.00
loop_
_atom_site_label
_atom_site_fract_x
_atom_site_fract_y
_atom_site_fract_z
Nd1 0.0000 0.0000 0.0000
Dy1 0.0000 0.0000 0.3661
Dy2 0.6667 0.3333 0.4992
Dy3 0.6667 0.3333 0.8635
Ir1 0.1638 0.3276 0.6804
Ir2 0.3333 0.6667 0.4321
Ir3 0.3333 0.6667 0.9317
Ir4 0.5032 0.0063 0.1847
```

***

Run 2
VASP calculation (PBE) on NdDy3Ir8 after structural relaxation.

CIF file:
```
data_NdDy3Ir8
_chemical_formula_sum 'Nd3 Dy9 Ir24'
_space_group_name_H-M_alt 'R 3 m'
_space_group_IT_number 160
_space_group_name_Hall 'R 3 -2"'
_cell_length_a 5.3814
_cell_length_b 5.3814
_cell_length_c 26.3426
_cell_angle_alpha 90.00
_cell_angle_beta 90.00
_cell_angle_gamma 120.00
loop_
_atom_site_label
_atom_site_fract_x
_atom_site_fract_y
_atom_site_fract_z
Nd1 0.0000 0.0000 0.0000
Dy1 0.0000 0.0000 0.1253
Dy2 0.0000 0.0000 0.4996
Dy3 0.0000 0.0000 0.6243
Ir1 0.0000 0.0000 0.3122
Ir2 0.0000 0.0000 0.8124
Ir3 0.0005 0.5003 0.0632
Ir4 0.1671 0.3343 0.8949
```

***

Which of them is most stable? Easy: run 2.

***

Run 1
VASP calculation (PBE) on NdDyIr2 after structural relaxation.

CIF file:
```
data_NdDyIr2
_chemical_formula_sum 'Nd2 Dy2 Ir4'
_space_group_name_H-M_alt 'A m m 2'
_space_group_IT_number 38
_space_group_name_Hall 'A 2 -2'
_cell_length_a 4.205
_cell_length_b 4.021
_cell_length_c 10.733
_cell_angle_alpha 90.00
_cell_angle_beta 90.00
_cell_angle_gamma 90.00
loop_
_atom_site_label
_atom_site_fract_x
_atom_site_fract_y
_atom_site_fract_z
Nd1 0.000 0.000 0.000
Dy1 0.500 0.000 0.708
Ir1 0.000 0.000 0.273
Ir2 0.500 0.000 0.426
```

***

Run 2
VASP calculation (PBE) on NdDyIr2 after structural relaxation.

CIF file:
```
data_NdDyIr2
_chemical_formula_sum 'Nd4 Dy4 Ir8'
_space_group_name_H-M_alt 'F m -3 m'
_space_group_IT_number 225
_space_group_name_Hall '-F 4 2 3'
_cell_length_a 6.979
_cell_length_b 6.979
_cell_length_c 6.979
_cell_angle_alpha 90.00
_cell_angle_beta 90.00
_cell_angle_gamma 90.00
loop_
_atom_site_label
_atom_site_fract_x
_atom_site_fract_y
_atom_site_fract_z
Nd1 0.000 0.000 0.000
Dy1 0.000 0.000 0.500
Ir1 0.250 0.250 0.250
```

***

Which of them is most stable? Easy: run 1.

***

Run 1
VASP calculation (PBE) on Dy2NiIr3 after structural relaxation.

CIF file:
```
data_Dy2NiIr3
_chemical_formula_sum 'Dy6 Ni3 Ir9'
_space_group_name_H-M_alt 'R -3 m'
_space_group_IT_number 166
_space_group_name_Hall '-R 3 2"'
_cell_length_a 5.3868
_cell_length_b 5.3868
_cell_length_c 12.4676
_cell_angle_alpha 90.00
_cell_angle_beta 90.00
_cell_angle_gamma 120.00
loop_
_atom_site_label
_atom_site_fract_x
_atom_site_fract_y
_atom_site_fract_z
Dy1 0.0000 0.0000 0.1258
Ni1 0.0000 0.0000 0.5000
Ir1 0.0000 0.5000 0.0000
```

***

Run 2
VASP calculation (PBE) on Dy2NiIr3 after structural relaxation.

CIF file:
```
data_Dy2NiIr3
_chemical_formula_sum 'Dy4 Ni2 Ir6'
_space_group_name_H-M_alt 'P 63/m m c'
_space_group_IT_number 194
_space_group_name_Hall '-P 6c 2c'
_cell_length_a 5.3764
_cell_length_b 5.3764
_cell_length_c 8.3867
_cell_angle_alpha 90.00
_cell_angle_beta 90.00
_cell_angle_gamma 120.00
loop_
_atom_site_label
_atom_site_fract_x
_atom_site_fract_y
_atom_site_fract_z
Dy1 0.3333 0.6667 0.0654
Ni1 0.0000 0.0000 0.0000
Ir1 0.1677 0.3354 0.7500
```

***

Which of them is most stable? Easy: run 1.

***

Run 1
VASP calculation (PBE) on DyNi4Ir after structural relaxation.

CIF file:
```
data_DyNi4Ir
_chemical_formula_sum 'Dy2 Ni8 Ir2'
_space_group_name_H-M_alt 'P m m a'
_space_group_IT_number 51
_space_group_name_Hall '-P 2a 2a'
_cell_length_a 6.866
_cell_length_b 3.980
_cell_length_c 6.583
_cell_angle_alpha 90.00
_cell_angle_beta 90.00
_cell_angle_gamma 90.00
loop_
_atom_site_label
_atom_site_fract_x
_atom_site_fract_y
_atom_site_fract_z
Dy1 0.250 0.000 0.159
Ni1 0.000 0.000 0.500
Ni2 0.058 0.500 0.820
Ni3 0.250 0.500 0.495
Ir1 0.250 0.000 0.748
```

***

Run 2
VASP calculation (PBE) on DyNi4Ir after structural relaxation.

CIF file:
```
data_DyNi4Ir
_chemical_formula_sum 'Dy4 Ni16 Ir4'
_space_group_name_H-M_alt 'F -4 3 m'
_space_group_IT_number 216
_space_group_name_Hall 'F -4 2 3'
_cell_length_a 6.890
_cell_length_b 6.890
_cell_length_c 6.890
_cell_angle_alpha 90.00
_cell_angle_beta 90.00
_cell_angle_gamma 90.00
loop_
_atom_site_label
_atom_site_fract_x
_atom_site_fract_y
_atom_site_fract_z
Dy1 0.000 0.000 0.000
Ni1 0.124 0.124 0.624
Ir1 0.250 0.250 0.250
```

***

Which of them is most stable? Easy: run 2.

***

Run 1
VASP calculation (PBE) on Dy8Ni2Ir after structural relaxation.

CIF file:
```
data_Dy8Ni2Ir
_chemical_formula_sum 'Dy16 Ni4 Ir2'
_space_group_name_H-M_alt 'C 1 m 1'
_space_group_IT_number 8
_space_group_name_Hall 'C -2y'
_cell_length_a 8.168
_cell_length_b 12.484
_cell_length_c 5.973
_cell_angle_alpha 90.00
_cell_angle_beta 108.82
_cell_angle_gamma 90.00
loop_
_atom_site_label
_atom_site_fract_x
_atom_site_fract_y
_atom_site_fract_z
Dy1 0.000 0.000 0.000
Dy2 0.069 0.370 0.768
Dy3 0.150 0.130 0.570
Dy4 0.218 0.500 0.358
Dy5 0.358 0.213 0.177
Ni1 0.362 0.309 0.679
Ir1 0.359 0.000 0.344
```

***

Run 2
VASP calculation (PBE) on Dy8Ni2Ir after structural relaxation.

CIF file:
```
data_Dy8Ni2Ir
_chemical_formula_sum 'Dy16 Ni4 Ir2'
_space_group_name_H-M_alt 'C 1 2/m 1'
_space_group_IT_number 12
_space_group_name_Hall '-C 2y'
_cell_length_a 17.092
_cell_length_b 5.006
_cell_length_c 6.607
_cell_angle_alpha 90.00
_cell_angle_beta 104.98
_cell_angle_gamma 90.00
loop_
_atom_site_label
_atom_site_fract_x
_atom_site_fract_y
_atom_site_fract_z
Dy1 0.037 0.000 0.292
Dy2 0.090 0.500 0.944
Dy3 0.170 0.500 0.478
Dy4 0.202 0.000 0.830
Ni1 0.190 0.000 0.225
Ir1 0.000 0.500 0.500
```

***

Which of them is most stable? Easy: run 2.

***

Run 1
VASP calculation (PBE) on PmDyNiIr after structural relaxation.

CIF file:
```
data_PmDyNiIr
_chemical_formula_sum 'Pm4 Dy4 Ni4 Ir4'
_space_group_name_H-M_alt 'F -4 3 m'
_space_group_IT_number 216
_space_group_name_Hall 'F -4 2 3'
_cell_length_a 6.913
_cell_length_b 6.913
_cell_length_c 6.913
_cell_angle_alpha 90.00
_cell_angle_beta 90.00
_cell_angle_gamma 90.00
loop_
_atom_site_label
_atom_site_fract_x
_atom_site_fract_y
_atom_site_fract_z
Pm1 0.000 0.000 0.000
Dy1 0.000 0.000 0.500
Ni1 0.250 0.250 0.750
Ir1 0.250 0.250 0.250
```

***

Run 2
VASP calculation (PBE) on PmDyNiIr after structural relaxation.

CIF file:
```
data_PmDyNiIr
_chemical_formula_sum 'Pm2 Dy2 Ni2 Ir2'
_space_group_name_H-M_alt 'A m m 2'
_space_group_IT_number 38
_space_group_name_Hall 'A 2 -2'
_cell_length_a 4.105
_cell_length_b 3.922
_cell_length_c 10.758
_cell_angle_alpha 90.00
_cell_angle_beta 90.00
_cell_angle_gamma 90.00
loop_
_atom_site_label
_atom_site_fract_x
_atom_site_fract_y
_atom_site_fract_z
Pm1 0.000 0.000 0.000
Dy1 0.500 0.000 0.716
Ni1 0.500 0.000 0.429
Ir1 0.000 0.000 0.279
```

***

Which of them is most stable? Easy: run 2.

***

Run 1
VASP calculation (PBE) on TbDyNiIr after structural relaxation.

CIF file:
```
data_TbDyNiIr
_chemical_formula_sum 'Tb2 Dy2 Ni2 Ir2'
_space_group_name_H-M_alt 'A m m 2'
_space_group_IT_number 38
_space_group_name_Hall 'A 2 -2'
_cell_length_a 4.130
_cell_length_b 3.875
_cell_length_c 10.500
_cell_angle_alpha 90.00
_cell_angle_beta 90.00
_cell_angle_gamma 90.00
loop_
_atom_site_label
_atom_site_fract_x
_atom_site_fract_y
_atom_site_fract_z
Tb1 0.000 0.000 0.000
Dy1 0.500 0.000 0.715
Ni1 0.000 0.000 0.281
Ir1 0.500 0.000 0.431
```

***

Run 2
VASP calculation (PBE) on TbDyNiIr after structural relaxation.

CIF file:
```
data_TbDyNiIr
_chemical_formula_sum 'Tb4 Dy4 Ni4 Ir4'
_space_group_name_H-M_alt 'F -4 3 m'
_space_group_IT_number 216
_space_group_name_Hall 'F -4 2 3'
_cell_length_a 6.832
_cell_length_b 6.832
_cell_length_c 6.832
_cell_angle_alpha 90.00
_cell_angle_beta 90.00
_cell_angle_gamma 90.00
loop_
_atom_site_label
_atom_site_fract_x
_atom_site_fract_y
_atom_site_fract_z
Tb1 0.000 0.000 0.000
Dy1 0.000 0.000 0.500
Ni1 0.250 0.250 0.250
Ir1 0.250 0.250 0.750
```

***

Which of them is most stable? Easy: run 1.

***

Run 1
VASP calculation (PBE) on DyThNiIr after structural relaxation.

CIF file:
```
data_DyThNiIr
_chemical_formula_sum 'Dy2 Th2 Ni2 Ir2'
_space_group_name_H-M_alt 'A m m 2'
_space_group_IT_number 38
_space_group_name_Hall 'A 2 -2'
_cell_length_a 4.432
_cell_length_b 3.778
_cell_length_c 10.349
_cell_angle_alpha 90.00
_cell_angle_beta 90.00
_cell_angle_gamma 90.00
loop_
_atom_site_label
_atom_site_fract_x
_atom_site_fract_y
_atom_site_fract_z
Dy1 0.000 0.000 0.000
Th1 0.500 0.000 0.276
Ni1 0.000 0.000 0.722
Ir1 0.500 0.000 0.555
```

***

Run 2
VASP calculation (PBE) on DyThNiIr after structural relaxation.

CIF file:
```
data_DyThNiIr
_chemical_formula_sum 'Dy4 Th4 Ni4 Ir4'
_space_group_name_H-M_alt 'F -4 3 m'
_space_group_IT_number 216
_space_group_name_Hall 'F -4 2 3'
_cell_length_a 6.979
_cell_length_b 6.979
_cell_length_c 6.979
_cell_angle_alpha 90.00
_cell_angle_beta 90.00
_cell_angle_gamma 90.00
loop_
_atom_site_label
_atom_site_fract_x
_atom_site_fract_y
_atom_site_fract_z
Dy1 0.000 0.000 0.000
Th1 0.000 0.000 0.500
Ni1 0.250 0.250 0.250
Ir1 0.250 0.250 0.750
```

***

Which of them is most stable? Easy: run 1.

***

Run 1
VASP calculation (PBE) on Dy3IrO6 after structural relaxation.

CIF file:
```
data_Dy3IrO6
_chemical_formula_sum 'Dy18 Ir6 O36'
_space_group_name_H-M_alt 'R -3'
_space_group_IT_number 148
_space_group_name_Hall '-R 3'
_cell_length_a 9.6153
_cell_length_b 9.6153
_cell_length_c 10.4728
_cell_angle_alpha 90.00
_cell_angle_beta 90.00
_cell_angle_gamma 120.00
loop_
_atom_site_label
_atom_site_fract_x
_atom_site_fract_y
_atom_site_fract_z
Dy1 0.0445 0.7788 0.1951
Ir1 0.0000 0.0000 0.0000
Ir2 0.0000 0.0000 0.5000
O1 0.0298 0.8376 0.8864
O2 0.0317 0.8219 0.4030
```

***

Run 2
VASP calculation (PBE) on Dy3IrO6 after structural relaxation.

CIF file:
```
data_Dy3IrO6
_chemical_formula_sum 'Dy12 Ir4 O24'
_space_group_name_H-M_alt 'C m c 21'
_space_group_IT_number 36
_space_group_name_Hall 'C 2c -2'
_cell_length_a 8.843
_cell_length_b 11.071
_cell_length_c 5.690
_cell_angle_alpha 90.00
_cell_angle_beta 90.00
_cell_angle_gamma 90.00
loop_
_atom_site_label
_atom_site_fract_x
_atom_site_fract_y
_atom_site_fract_z
Dy1 0.000 0.098 0.000
Dy2 0.200 0.395 0.050
Ir1 0.000 0.301 0.559
O1 0.000 0.286 0.233
O2 0.000 0.447 0.791
O3 0.154 0.237 0.799
O4 0.159 0.017 0.279
```

***

Which of them is most stable? Easy: run 1.